Below is a relaxed structure of NbTe2PN, with properties calculated at the PBE-GGA level.

abc: 5.502 5.502 3.889
angles: 90.00 90.00 90.00
Fractional positions:
Nb 0.000 0.000 0.000
Te 0.000 0.500 0.000
Te 0.500 0.000 0.000
P 0.500 0.500 0.500
N 0.000 0.000 0.500

## Properties
Volume, Å³/f.u.: 117.7
Energy above the lowest structure with this stoichiometry, eV per atom: 0.000

Below is a relaxed structure of NbTePN2, with properties calculated at the PBE-GGA level.

abc: 4.014 4.014 6.002
angles: 90.00 90.00 90.00
Fractional positions:
Nb 0.000 0.000 0.000
Te 0.000 0.000 0.500
P 0.500 0.500 0.500
N 0.000 0.500 0.000
N 0.500 0.000 0.000

## Properties
Volume, Å³/f.u.: 96.7
Energy above the lowest structure with this stoichiometry, eV per atom: 0.000

Below is a relaxed structure of NbTe2PN, with properties calculated at the PBE-GGA level.

abc: 5.439 5.439 3.305
angles: 90.00 90.00 90.00
Fractional positions:
Nb 0.000 0.000 0.000
Te 0.000 0.500 0.500
Te 0.500 0.000 0.500
P 0.500 0.500 0.500
N 0.500 0.500 0.000

## Properties
Volume, Å³/f.u.: 97.8
Energy above the lowest structure with this stoichiometry, eV per atom: 0.130

Below is a relaxed structure of UNbP2N, with properties calculated at the PBE-GGA level.

abc: 3.626 3.626 12.285
angles: 90.00 90.00 90.00
Fractional positions:
U 0.250 0.250 0.104
U 0.750 0.750 0.896
Nb 0.250 0.250 0.585
Nb 0.750 0.750 0.415
P 0.250 0.250 0.375
P 0.250 0.250 0.795
P 0.750 0.750 0.205
P 0.750 0.750 0.625
N 0.250 0.750 0.000
N 0.750 0.250 0.000

## Properties
Volume, Å³/f.u.: 80.8

Below is a relaxed structure of PaNb2N5, with properties calculated at the PBE-GGA level.

abc: 5.693 5.693 11.100
angles: 90.00 90.00 139.13
Fractional positions:
Pa 0.202 0.798 0.750
Pa 0.798 0.202 0.250
Nb 0.129 0.871 0.056
Nb 0.129 0.871 0.444
Nb 0.871 0.129 0.556
Nb 0.871 0.129 0.944
N 0.044 0.956 0.610
N 0.044 0.956 0.890
N 0.218 0.782 0.250
N 0.310 0.690 0.571
N 0.310 0.690 0.929
N 0.690 0.310 0.071
N 0.690 0.310 0.429
N 0.782 0.218 0.750
N 0.956 0.044 0.110
N 0.956 0.044 0.390

## Properties
Volume, Å³/f.u.: 117.7

Below is a relaxed structure of PaNbN2, with properties calculated at the PBE-GGA level.

abc: 6.400 6.400 6.400
angles: 28.02 28.02 28.02
Fractional positions:
Pa 0.000 0.000 0.000
Nb 0.171 0.171 0.171
N 0.432 0.432 0.432
N 0.576 0.576 0.576

## Properties
Volume, Å³/f.u.: 51.1

Below is a relaxed structure of Pa2NbN5, with properties calculated at the PBE-GGA level.

abc: 8.583 8.583 10.669
angles: 118.35 118.35 48.46
Fractional positions:
Pa 0.211 0.712 0.527
Pa 0.235 0.491 0.156
Pa 0.288 0.789 0.973
Pa 0.491 0.235 0.656
Pa 0.509 0.765 0.344
Pa 0.712 0.211 0.027
Pa 0.765 0.509 0.844
Pa 0.789 0.288 0.473
Nb 0.086 0.292 0.314
Nb 0.292 0.086 0.814
Nb 0.708 0.914 0.186
Nb 0.914 0.708 0.686
N 0.065 0.097 0.127
N 0.097 0.065 0.627
N 0.117 0.289 0.953
N 0.163 0.474 0.326
N 0.196 0.573 0.663
N 0.289 0.117 0.453
N 0.383 0.592 0.107
N 0.408 0.617 0.393
N 0.427 0.804 0.837
N 0.474 0.163 0.826
N 0.526 0.837 0.174
N 0.573 0.196 0.163
N 0.592 0.383 0.607
N 0.617 0.408 0.893
N 0.711 0.883 0.547
N 0.804 0.427 0.337
N 0.837 0.526 0.674
N 0.883 0.711 0.047
N 0.903 0.935 0.373
N 0.935 0.903 0.873

## Properties
Volume, Å³/f.u.: 125.6

Below is a relaxed structure of Pa2NbN, with properties calculated at the PBE-GGA level.

abc: 9.067 9.067 9.067
angles: 20.03 20.03 20.03
Fractional positions:
Pa 0.107 0.107 0.107
Pa 0.893 0.893 0.893
Nb 0.000 0.000 0.000
N 0.500 0.500 0.500

## Properties
Volume, Å³/f.u.: 76.5

Raw total energy for every record listed, in sequence, given in eV/atom: -5.5090, -6.4117, -5.3792, -9.0133, -9.9915, -10.2120, -10.1763, -9.6192.